a.
NdVIr | the Alexandria database | PBE | optimized geometry; space-group type = P3m1, No. 156; crystal system = trigonal
1.0
4.1246 0.0000 0.0000
-2.0623 3.5720 0.0000
0.0000 0.0000 4.5361
Nd V Ir
1 1 1
Direct
0.0000 0.0000 0.0000
0.3333 0.6667 0.4893
0.6667 0.3333 0.5279


b.
NdVIr | the Alexandria database | PBE | optimized geometry; space-group type = P3_212, No. 153; crystal system = trigonal
1.0
5.8512 0.0000 0.0000
-2.9256 5.0673 0.0000
0.0000 0.0000 6.3197
Nd V Ir
3 3 3
Direct
0.1866 0.3731 0.3333
0.1866 0.8134 0.6667
0.6269 0.8134 0.0000
0.5855 0.1710 0.3333
0.5855 0.4145 0.6667
0.8290 0.4145 0.0000
0.3063 0.1531 0.0000
0.8469 0.1531 0.6667
0.8469 0.6937 0.3333


Most stable: a (next structure +361 meV per atom)


a.
NdY2Ir | the Alexandria database | PBE | optimized geometry; space-group type = R-3m, No. 166; crystal system = trigonal
1.0
3.7970 0.0000 0.0000
-1.8985 3.2883 0.0000
0.0000 0.0000 31.7356
Nd Y Ir
3 6 3
Direct
0.0000 0.0000 0.0000
0.3333 0.6667 0.6667
0.6667 0.3333 0.3333
0.0000 0.0000 0.1147
0.0000 0.0000 0.8853
0.3333 0.6667 0.5520
0.3333 0.6667 0.7814
0.6667 0.3333 0.2186
0.6667 0.3333 0.4480
0.0000 0.0000 0.5000
0.3333 0.6667 0.1667
0.6667 0.3333 0.8333


b.
NdY2Ir | the Alexandria database | PBE | optimized geometry; space-group type = Cmcm, No. 63; crystal system = orthorhombic
1.0
3.8635 0.0000 0.0000
0.0000 12.3782 0.0000
0.0000 0.0000 9.3507
Nd Y Ir
4 8 4
Direct
0.0000 0.0742 0.2500
0.0000 0.9258 0.7500
0.5000 0.4258 0.7500
0.5000 0.5742 0.2500
0.0000 0.3574 0.0678
0.0000 0.3574 0.4322
0.0000 0.6426 0.5678
0.0000 0.6426 0.9322
0.5000 0.1426 0.5678
0.5000 0.1426 0.9322
0.5000 0.8574 0.0678
0.5000 0.8574 0.4322
0.0000 0.2472 0.7500
0.0000 0.7528 0.2500
0.5000 0.2528 0.2500
0.5000 0.7472 0.7500


c.
NdY2Ir | the Alexandria database | PBE | optimized geometry; space-group type = P4/mmm, No. 123; crystal system = tetragonal
1.0
3.4975 0.0000 0.0000
0.0000 3.4975 0.0000
0.0000 0.0000 8.9599
Nd Y Ir
1 2 1
Direct
0.0000 0.0000 0.0000
0.5000 0.5000 0.3169
0.5000 0.5000 0.6831
0.0000 0.0000 0.5000


d.
NdY2Ir | the Alexandria database | PBE | optimized geometry; space-group type = R3m, No. 160; crystal system = trigonal
1.0
4.0076 0.0000 0.0000
-2.0038 3.4707 0.0000
0.0000 0.0000 26.7890
Nd Y Ir
3 6 3
Direct
0.0000 0.0000 0.0000
0.3333 0.6667 0.6667
0.6667 0.3333 0.3333
0.0000 0.0000 0.5536
0.0000 0.0000 0.7747
0.3333 0.6667 0.2203
0.3333 0.6667 0.4414
0.6667 0.3333 0.1081
0.6667 0.3333 0.8869
0.0000 0.0000 0.1642
0.3333 0.6667 0.8309
0.6667 0.3333 0.4975


Most stable: b (next structure +89 meV per atom)